Record 1
The following is a PBE calculation of an optimized crystal structure of Al5SiRu6, from the Alexandria database.

Properties
**SG**: Cmmm (65)
**Calculated total energy**: -88.1 eV for the cell shown
**Density of states at the Fermi level**: 0.879 states/eV per atom

Lattice parameters (Å, degrees): 4.2296 5.9784 6.6862 90.00 71.56 90.00
Last column: nearest neighbours and their distance in Å.
Sites, in units of the cell vectors:
Al (0.3329, 0.5000, 0.3342)  8 Ru 2.60-2.63
Al (0.0000, 0.5000, 0.0000)  8 Ru 2.56-2.62
Al (0.6671, 0.5000, 0.6658)  8 Ru 2.60-2.63
Al (0.6711, 0.0000, 0.6578)  8 Ru 2.57-2.60
Al (0.3289, 0.0000, 0.3422)  8 Ru 2.57-2.60
Ru (0.8372, 0.2475, 0.3257)  1 Si 2.54, 7 Al 2.56-2.63
Ru (0.5000, 0.2405, 0.0000)  2 Si 2.56, 6 Al 2.60-2.63
Ru (0.8372, 0.7525, 0.3257)  1 Si 2.54, 7 Al 2.56-2.63
Ru (0.1628, 0.7525, 0.6743)  1 Si 2.54, 7 Al 2.56-2.63
Ru (0.1628, 0.2475, 0.6743)  1 Si 2.54, 7 Al 2.56-2.63
Ru (0.5000, 0.7595, 0.0000)  2 Si 2.56, 6 Al 2.60-2.63
Si (0.0000, 0.0000, 0.0000)  8 Ru 2.54-2.56

---

Record 2
The following is a PBE calculation of an optimized crystal structure of FeCl4, from the Alexandria database.

Properties
**SG**: Pm-3m (221)
**Calculated total energy**: -16.5 eV for the cell shown
**Density of states at the Fermi level**: 1.328 states/eV per atom

Lattice parameters (Å, degrees): 4.7728 4.7728 4.7728 90.00 90.00 90.00
Last column: nearest neighbours and their distance in Å.
Sites, in units of the cell vectors:
Cl (0.5000, 0.5000, 0.0000)  2 Fe 2.39
Cl (0.5000, 0.0000, 0.5000)  2 Fe 2.39
Cl (0.0000, 0.0000, 0.0000)  12 Cl 3.37
Cl (0.0000, 0.5000, 0.5000)  2 Fe 2.39
Fe (0.5000, 0.5000, 0.5000)  6 Cl 2.39

---

Record 3
The following is a PBE calculation of an optimized crystal structure of PaIrPb2O8, from the Alexandria database.

Properties
**SG**: P2/m (10)
**Calculated total energy**: -84.2 eV for the cell shown
**Density of states at the Fermi level**: 0.237 states/eV per atom

Lattice parameters (Å, degrees): 5.1701 5.1745 6.7513 90.00 90.00 91.03
Last column: nearest neighbours and their distance in Å.
Sites, in units of the cell vectors:
O (0.2661, 0.2621, 0.0000)  1 Ir 1.91
O (0.8251, 0.1775, 0.7632)  1 Ir 2.06, 1 Pa 2.20
O (0.1749, 0.8225, 0.2368)  1 Ir 2.06, 1 Pa 2.20
O (0.6968, 0.6999, 0.5000)  1 Pa 2.19, 2 Pb 2.27
O (0.3032, 0.3001, 0.5000)  1 Pa 2.19, 2 Pb 2.27
O (0.1749, 0.8225, 0.7632)  1 Ir 2.06, 1 Pa 2.20
O (0.7339, 0.7379, 0.0000)  1 Ir 1.91
O (0.8251, 0.1775, 0.2368)  1 Ir 2.06, 1 Pa 2.20
Pa (0.0000, 0.0000, 0.5000)  6 O 2.19-2.20
Pb (0.5000, 0.5000, 0.2391)  6 O 2.27-2.39
Pb (0.5000, 0.5000, 0.7609)  6 O 2.27-2.39
Ir (0.0000, 0.0000, 0.0000)  6 O 1.91-2.06

---

Record 4
The following is a PBE calculation of an optimized crystal structure of CePaCl6, from the Alexandria database.

Properties
**SG**: R-3 (148)
**Calculated total energy**: -41.9 eV for the cell shown
**Density of states at the Fermi level**: 2.354 states/eV per atom

Lattice parameters (Å, degrees): 6.9902 6.9899 7.6320 62.75 62.74 59.99
Last column: nearest neighbours and their distance in Å.
Sites, in units of the cell vectors:
Pa (0.0000, 0.0000, 0.0000)  6 Cl 2.74
Cl (0.7548, 0.0974, 0.7542)  1 Pa 2.74, 1 Ce 2.83
Cl (0.2452, 0.9026, 0.2458)  1 Pa 2.74, 1 Ce 2.83
Cl (0.9026, 0.6064, 0.2458)  1 Pa 2.74, 1 Ce 2.83
Cl (0.3936, 0.7549, 0.7542)  1 Pa 2.74, 1 Ce 2.83
Cl (0.0974, 0.3936, 0.7542)  1 Pa 2.74, 1 Ce 2.83
Cl (0.6064, 0.2451, 0.2458)  1 Pa 2.74, 1 Ce 2.83
Ce (0.5000, 0.5000, 0.5000)  6 Cl 2.83

---

Record 5
The following is a PBE calculation of an optimized crystal structure of Hg3B2Pt9, from the Alexandria database.

Properties
**ΔE_f**: -0.133 eV per atom
**SG**: P6_3/mmc (194)
**Calculated total energy**: -141.0 eV for the cell shown
**Density of states at the Fermi level**: 0.153 states/eV per atom

Lattice parameters (Å, degrees): 5.8757 5.8757 14.7986 90.00 90.00 120.00
Last column: nearest neighbours and their distance in Å.
Sites, in units of the cell vectors:
Hg (0.6667, 0.3333, 0.9158)  12 Pt 2.94-2.98
Hg (0.3333, 0.6667, 0.4158)  12 Pt 2.94-2.98
Hg (0.0000, 0.0000, 0.2500)  12 Pt 2.94-3.02
Hg (0.3333, 0.6667, 0.0842)  12 Pt 2.94-2.98
Hg (0.0000, 0.0000, 0.7500)  12 Pt 2.94-3.02
Hg (0.6667, 0.3333, 0.5842)  12 Pt 2.94-2.98
Pt (0.8382, 0.6765, 0.4210)  1 B 2.10
Pt (0.9981, 0.4991, 0.7500)  2 B 2.18
Pt (0.5009, 0.4991, 0.7500)  2 B 2.18
Pt (0.8382, 0.6765, 0.0790)  1 B 2.10
Pt (0.0019, 0.5009, 0.2500)  2 B 2.18
Pt (0.1618, 0.8382, 0.9210)  1 B 2.10
Pt (0.8382, 0.1618, 0.0790)  1 B 2.10
Pt (0.3235, 0.1618, 0.4210)  1 B 2.10
Pt (0.4991, 0.9981, 0.2500)  2 B 2.18
Pt (0.1618, 0.3235, 0.9210)  1 B 2.10
Pt (0.4991, 0.5009, 0.2500)  2 B 2.18
Pt (0.3235, 0.1618, 0.0790)  1 B 2.10
Pt (0.6765, 0.8382, 0.9210)  1 B 2.10
Pt (0.8382, 0.1618, 0.4210)  1 B 2.10
Pt (0.1618, 0.8382, 0.5790)  1 B 2.10
Pt (0.1618, 0.3235, 0.5790)  1 B 2.10
Pt (0.5009, 0.0019, 0.7500)  2 B 2.18
Pt (0.6765, 0.8382, 0.5790)  1 B 2.10
B (0.6667, 0.3333, 0.3417)  6 Pt 2.10-2.18
B (0.3333, 0.6667, 0.6583)  6 Pt 2.10-2.18
B (0.6667, 0.3333, 0.1583)  6 Pt 2.10-2.18
B (0.3333, 0.6667, 0.8417)  6 Pt 2.10-2.18

---

Record 6
The following is a PBE calculation of an optimized crystal structure of Pa4SiC, from the Alexandria database.

Properties
**SG**: Pnc2 (30)
**Calculated total energy**: -105.3 eV for the cell shown
**Density of states at the Fermi level**: 1.981 states/eV per atom

Lattice parameters (Å, degrees): 5.6787 6.9597 6.8540 90.00 90.00 90.00
Last column: nearest neighbours and their distance in Å.
Sites, in units of the cell vectors:
Pa (0.7574, 0.1596, 0.6535)  2 C 2.46-2.51
Pa (0.7426, 0.1596, 0.1535)  2 C 2.46-2.51
Pa (0.7025, 0.7484, 0.8622)  1 C 2.45
Pa (0.2975, 0.2516, 0.8622)  1 C 2.45
Pa (0.2426, 0.8404, 0.6535)  2 C 2.46-2.51
Pa (0.2025, 0.2516, 0.3622)  1 C 2.45
Pa (0.2574, 0.8404, 0.1535)  2 C 2.46-2.51
Pa (0.7975, 0.7484, 0.3622)  1 C 2.45
Si (0.5000, 0.5000, 0.5651)  6 Pa 2.79-2.91
Si (0.0000, 0.5000, 0.0651)  6 Pa 2.79-2.91
C (0.5000, 0.0000, 0.4035)  6 Pa 2.45-2.51
C (0.0000, 0.0000, 0.9035)  6 Pa 2.45-2.51

---

Record 7
The following is a PBE calculation of an optimized crystal structure of TeMoCl2, from the Alexandria database.

Properties
**SG**: I-42d (122)
**Calculated total energy**: -31.6 eV for the cell shown
**Density of states at the Fermi level**: 1.034 states/eV per atom

Lattice parameters (Å, degrees): 7.0944 7.0944 6.9819 59.47 59.47 90.00
Last column: nearest neighbours and their distance in Å.
Sites, in units of the cell vectors:
Cl (0.8750, 0.7331, 0.7500)  2 Mo 2.28
Cl (0.4831, 0.1250, 0.2500)  2 Mo 2.28
Cl (0.3750, 0.5169, 0.7500)  2 Mo 2.28
Cl (0.2669, 0.6250, 0.2500)  2 Mo 2.28
Te (0.7500, 0.2500, 0.5000)  4 Cl 3.51
Te (0.0000, 0.0000, 0.0000)  4 Cl 3.51
Mo (0.5000, 0.5000, 0.0000)  4 Cl 2.28
Mo (0.2500, 0.7500, 0.5000)  4 Cl 2.28

---

Record 8
The following is a PBE calculation of an optimized crystal structure of Ho2CoSi4Ni3, from the Alexandria database.

Properties
**SG**: P-4m2 (115)
**Calculated total energy**: -63.6 eV for the cell shown
**Density of states at the Fermi level**: 0.488 states/eV per atom

Lattice parameters (Å, degrees): 3.9235 3.9235 9.5593 90.00 90.00 90.00
Last column: nearest neighbours and their distance in Å.
Sites, in units of the cell vectors:
Ni (0.0000, 0.0000, 0.5000)  4 Si 2.32
Ni (0.0000, 0.5000, 0.1282)  5 Si 2.31-2.32
Ni (0.5000, 0.0000, 0.8718)  5 Si 2.31-2.32
Si (0.5000, 0.5000, 0.0000)  4 Ni 2.31
Si (0.0000, 0.0000, 0.0000)  4 Ni 2.31
Si (0.5000, 0.0000, 0.6295)  3 Ni 2.32, 2 Co 2.32
Si (0.0000, 0.5000, 0.3705)  3 Ni 2.32, 2 Co 2.32
Ho (0.0000, 0.5000, 0.7511)  6 Ni 3.00-3.10, 8 Si 3.01-3.08, 2 Co 3.10
Ho (0.5000, 0.0000, 0.2489)  6 Ni 3.00-3.10, 8 Si 3.01-3.08, 2 Co 3.10
Co (0.5000, 0.5000, 0.5000)  4 Si 2.32

---

Record 9
The following is a PBE calculation of an optimized crystal structure of HgAsP2, from the Alexandria database.

Properties
**ΔE_f**: 0.380 eV per atom
**SG**: Imm2 (44)
**Calculated total energy**: -14.2 eV for the cell shown
**Density of states at the Fermi level**: 0.419 states/eV per atom

Lattice parameters (Å, degrees): 7.2066 7.2066 7.2066 154.76 149.15 40.27
Last column: nearest neighbours and their distance in Å.
Sites, in units of the cell vectors:
As (0.5416, 0.5416, 0.0000)  2 Hg 2.84, 4 P 2.85, 2 As 3.15
Hg (0.1969, 0.6969, 0.5000)  2 As 2.84, 4 P 3.02, 2 Hg 3.15
P (0.8238, 0.3238, 0.5000)  2 P 2.20
P (0.9377, 0.9377, 0.0000)  2 P 2.20

---

Record 10
The following is a PBE calculation of an optimized crystal structure of Li2Dy2ErSn2, from the Alexandria database.

Properties
**ΔE_f**: -0.434 eV per atom
**SG**: R-3m (166)
**Calculated total energy**: -28.6 eV for the cell shown
**Density of states at the Fermi level**: 0.605 states/eV per atom

Lattice parameters (Å, degrees): 4.7616 4.7616 9.2166 75.03 75.03 60.00
Last column: nearest neighbours and their distance in Å.
Sites, in units of the cell vectors:
Dy (0.1284, 0.1284, 0.6148)  3 Sn 3.17, 3 Li 3.21, 1 Er 3.39, 3 Dy 3.41
Dy (0.8716, 0.8716, 0.3852)  3 Sn 3.17, 3 Li 3.21, 1 Er 3.39, 3 Dy 3.41
Er (0.0000, 0.0000, 0.0000)  6 Li 3.25, 6 Sn 3.30, 2 Dy 3.39
Li (0.3990, 0.3990, 0.8031)  3 Sn 2.75
Li (0.6010, 0.6010, 0.1969)  3 Sn 2.75
Sn (0.2644, 0.2644, 0.2068)  3 Li 2.75
Sn (0.7356, 0.7356, 0.7932)  3 Li 2.75

---

Record 11
The following is a PBE calculation of an optimized crystal structure of BaHg2Pd, from the Alexandria database.

Properties
**ΔE_f**: -0.318 eV per atom
**SG**: P4/mmm (123)
**Calculated total energy**: -9.0 eV for the cell shown
**Density of states at the Fermi level**: 0.304 states/eV per atom

Lattice parameters (Å, degrees): 3.8058 3.8058 7.2415 90.00 90.00 90.00
Last column: nearest neighbours and their distance in Å.
Sites, in units of the cell vectors:
Pd (0.5000, 0.5000, 0.0000)  8 Hg 3.05
Hg (0.0000, 0.0000, 0.1972)  1 Hg 2.86, 4 Pd 3.05
Hg (0.0000, 0.0000, 0.8028)  1 Hg 2.86, 4 Pd 3.05
Ba (0.5000, 0.5000, 0.5000)  8 Hg 3.47, 2 Pd 3.62, 4 Ba 3.81